(1)
The following is a GGA-PBE calculation of an optimized crystal structure of TbCeGe, from Alexandria.

Summary:
As for the crystal system: cubic. The value obtained for the formation enthalpy at 0 K is -0.4159 eV/atom. The calculation puts the density at 7.2 g/cm³. The total magnetic moment is 0.9 μB per cell. The calculated volume comes out at 28.524 Å³ per atom. As for the space group: F-43m (216).

POSCAR file:
```
TbCeGe
1.0
4.946 0.000 0.000
2.473 4.284 0.000
2.473 1.428 4.039
Ce Ge Tb
1 1 1
direct
0.500 0.500 0.500
0.250 0.250 0.250
0.000 0.000 0.000
```

=====

(2)
The following is a GGA-PBE calculation of an optimized crystal structure of Tb3Ce4Ge4, from Alexandria.

Summary:
As for the crystal system: orthorhombic. The value obtained for the formation enthalpy at 0 K is -0.4762 eV/atom. The calculation puts the density at 7.6 g/cm³. The total magnetic moment is 0.0 μB per cell. The calculated volume comes out at 26.212 Å³ per atom. As for the space group: Immm (71).

POSCAR file:
```
Tb3Ce4Ge4
1.0
3.915 0.000 0.000
0.000 9.627 0.000
-1.958 -4.813 7.650
Tb Ge Ce
3 4 4
direct
0.895 0.895 0.791
0.000 0.500 0.000
0.105 0.105 0.209
0.500 0.219 0.000
0.500 0.781 0.000
0.243 0.743 0.485
0.757 0.257 0.515
0.691 0.906 0.381
0.309 0.094 0.619
0.691 0.475 0.381
0.309 0.525 0.619
```